Entry 1:
Below is CaSc2Os after structural relaxation, with properties calculated at the PBEsol level.

Computed properties:
**Crystal system**: trigonal
**Total magnetic moment**: 0.002 μB per cell
**Energy of formation**: 0.6400 eV per atom
**E**: -6.2498 eV/atom
**Relative energy among the computed polymorphs**: 0.853 eV per atom

a b c (Å): 3.1080 3.1080 31.9025
angles (deg): 90.00 90.00 120.00
Last column: nearest neighbours and their distance in Å.
Space group R-3m (No. 166, hexagonal axes)
Unique sites:
Ca 0.0000 0.0000 0.0000  6 Ca 3.11, 6 Sc 3.45
Sc 0.0000 0.0000 0.4257  1 Os 2.37
Os 0.0000 0.0000 0.5000  2 Sc 2.37

Entry 2:
Below is HfCdAs2Pb after structural relaxation, with properties calculated at the PBEsol level.

Computed properties:
**Crystal system**: tetragonal
**Total magnetic moment**: 0.000 μB per cell
**Energy of formation**: 1.2545 eV per atom
**E**: -3.9278 eV/atom

a b c (Å): 5.2587 5.2587 5.1565
angles (deg): 90.00 90.00 90.00
Last column: nearest neighbours and their distance in Å.
Space group P4/mmm (No. 123)
Unique sites:
Hf 0.0000 0.0000 0.0000  8 As 3.68, 4 Cd 3.72
Cd 0.5000 0.5000 0.0000  2 Pb 2.58
As 0.0000 0.5000 0.5000  2 Pb 2.63
Pb 0.5000 0.5000 0.5000  2 Cd 2.58, 4 As 2.63

Entry 3:
Below is NaSc2AlBr after structural relaxation, with properties calculated at the PBEsol level.

Computed properties:
**Crystal system**: tetragonal
**Formation energy from raw total energies**: -0.019 eV per atom
**Total magnetic moment**: 0.000 μB per cell
**E**: -4.1332 eV/atom

a b c (Å): 4.9754 4.9754 4.9488
angles (deg): 90.00 90.00 90.00
Last column: nearest neighbours and their distance in Å.
Space group P4/mmm (No. 123)
Unique sites:
Na 0.0000 0.0000 0.0000  2 Br 2.47
Sc 0.0000 0.5000 0.5000  2 Br 2.49
Al 0.5000 0.5000 0.0000  8 Sc 3.51, 4 Na 3.52
Br 0.0000 0.0000 0.5000  2 Na 2.47, 4 Sc 2.49

Entry 4:
Below is CsCa2MoOs after structural relaxation, with properties calculated at the PBEsol level.

Computed properties:
**Crystal system**: tetragonal
**Total magnetic moment**: 4.068 μB per cell
**Energy of formation**: 2.4137 eV per atom
**E**: -3.4249 eV/atom

a b c (Å): 5.5273 5.5273 4.9214
angles (deg): 90.00 90.00 90.00
Last column: nearest neighbours and their distance in Å.
Space group P4/mmm (No. 123)
Unique sites:
Cs 0.0000 0.0000 0.0000  2 Os 2.46
Ca 0.0000 0.5000 0.0000  2 Cs 2.76
Mo 0.5000 0.5000 0.5000  8 Ca 3.70, 4 Os 3.91
Os 0.0000 0.0000 0.5000  2 Cs 2.46

Entry 5:
Below is As3RuC after structural relaxation, with properties calculated at the PBEsol level.

Computed properties:
**Crystal system**: cubic
**Total magnetic moment**: 0.659 μB per cell
**Energy of formation**: 1.7690 eV per atom
**E**: -5.2581 eV/atom

a b c (Å): 4.6664 4.6664 4.6664
angles (deg): 90.00 90.00 90.00
Last column: nearest neighbours and their distance in Å.
Space group Pm-3m (No. 221)
Unique sites:
As 0.0000 0.0000 0.5000  2 Ru 2.33
Ru 0.0000 0.0000 0.0000  6 As 2.33
C 0.5000 0.5000 0.5000  12 As 3.30

Entry 6:
Below is Mn2SiP after structural relaxation, with properties calculated at the PBEsol level.

Computed properties:
**Crystal system**: cubic
**Formation energy from raw total energies**: 0.088 eV per atom
**Total magnetic moment**: 12.224 μB per cell
**E**: -7.6768 eV/atom

a b c (Å): 5.7018 5.7018 5.7018
angles (deg): 90.00 90.00 90.00
Last column: nearest neighbours and their distance in Å.
Space group F-43m (No. 216)
Unique sites:
Mn 0.0000 0.0000 0.0000  4 Mn 2.47, 4 Si 2.47
Mn 0.2500 0.2500 0.2500  4 Mn 2.47, 4 P 2.47
Si 0.2500 0.2500 0.7500  4 Mn 2.47, 4 P 2.47
P 0.0000 0.0000 0.5000  4 Mn 2.47, 4 Si 2.47

Entry 7:
Below is Ba2TlAg after structural relaxation, with properties calculated at the PBEsol level.

Computed properties:
**Crystal system**: cubic
**Total magnetic moment**: 0.001 μB per cell
**Energy of formation**: -0.2749 eV per atom
**E**: -2.8347 eV/atom
**Relative energy among the computed polymorphs**: 0.026 eV per atom

a b c (Å): 8.2094 8.2094 8.2094
angles (deg): 90.00 90.00 90.00
Last column: nearest neighbours and their distance in Å.
Space group Fm-3m (No. 225)
Unique sites:
Ba 0.2500 0.2500 0.2500  4 Tl 3.55, 4 Ag 3.55
Tl 0.0000 0.0000 0.0000  8 Ba 3.55
Ag 0.0000 0.0000 0.5000  8 Ba 3.55

Entry 8:
Below is Y4Mg5 after structural relaxation, with properties calculated at the PBEsol level.

Computed properties:
**Crystal system**: hexagonal
**Total magnetic moment**: 0.019 μB per cell
**Energy of formation**: -0.0070 eV per atom
**E**: -3.9930 eV/atom
**Relative energy among the computed polymorphs**: 0.039 eV per atom

a b c (Å): 9.2511 9.2511 6.4467
angles (deg): 90.00 90.00 120.00
Last column: nearest neighbours and their distance in Å.
Space group P6_3/mcm (No. 193)
Unique sites:
Y 0.0000 0.0000 0.0000  8 Y 3.22-3.58, 6 Mg 3.41
Y 0.0000 0.3457 0.2500  5 Mg 3.05-3.23
Mg 0.0000 0.3248 0.7500  7 Y 3.05-3.41
Mg 0.3333 0.6667 0.0000  8 Mg 3.22-3.52, 6 Y 3.43

Entry 9:
Below is AsOsRu2 after structural relaxation, with properties calculated at the PBEsol level.

Computed properties:
**Crystal system**: cubic
**Total magnetic moment**: 0.006 μB per cell
**Energy of formation**: 0.4644 eV per atom
**E**: -8.9523 eV/atom

a b c (Å): 6.0714 6.0714 6.0714
angles (deg): 90.00 90.00 90.00
Last column: nearest neighbours and their distance in Å.
Space group F-43m (No. 216)
Unique sites:
As 0.0000 0.0000 0.0000  4 Os 2.63, 4 Ru 2.63
Os 0.2500 0.2500 0.7500  4 As 2.63, 4 Ru 2.63
Ru 0.0000 0.0000 0.5000  4 Ru 2.63, 4 Os 2.63
Ru 0.2500 0.2500 0.2500  4 As 2.63, 4 Ru 2.63

Entry 10:
Below is Sr2SiPt after structural relaxation, with properties calculated at the PBEsol level.

Computed properties:
**Crystal system**: tetragonal
**Formation energy from raw total energies**: -0.384 eV per atom
**Total magnetic moment**: 0.000 μB per cell
**E**: -4.4813 eV/atom

a b c (Å): 3.5191 3.5191 8.0453
angles (deg): 90.00 90.00 90.00
Last column: nearest neighbours and their distance in Å.
Space group P4/mmm (No. 123)
Unique sites:
Sr 0.0000 0.0000 0.2324  4 Pt 3.11, 4 Si 3.29
Si 0.5000 0.5000 0.5000  8 Sr 3.29, 4 Si 3.52
Pt 0.5000 0.5000 0.0000  8 Sr 3.11

Entry 11:
Below is MnZn3Os after structural relaxation, with properties calculated at the PBEsol level.

Computed properties:
**Crystal system**: cubic
**Total magnetic moment**: 4.692 μB per cell
**Energy of formation**: 1.5752 eV per atom
**E**: -3.7693 eV/atom

a b c (Å): 4.3981 4.3981 4.3981
angles (deg): 90.00 90.00 90.00
Last column: nearest neighbours and their distance in Å.
Space group Pm-3m (No. 221)
Unique sites:
Mn 0.0000 0.0000 0.0000  6 Zn 2.20
Zn 0.0000 0.0000 0.5000  2 Mn 2.20
Os 0.5000 0.5000 0.5000  12 Zn 3.11

Entry 12:
Below is RhPbF3 after structural relaxation, with properties calculated at the PBEsol level.

Computed properties:
**Crystal system**: cubic
**Formation energy from raw total energies**: -1.119 eV per atom
**Total magnetic moment**: 0.000 μB per cell
**E**: -4.7032 eV/atom

a b c (Å): 4.2266 4.2266 4.2266
angles (deg): 90.00 90.00 90.00
Last column: nearest neighbours and their distance in Å.
Space group Pm-3m (No. 221)
Unique sites:
Rh 0.0000 0.0000 0.0000  6 F 2.11
Pb 0.5000 0.5000 0.5000  12 F 2.99
F 0.0000 0.0000 0.5000  2 Rh 2.11

Entry 13:
Below is Be2ZnW after structural relaxation, with properties calculated at the PBEsol level.

Computed properties:
**Crystal system**: tetragonal
**Total magnetic moment**: 0.000 μB per cell
**Energy of formation**: 0.2745 eV per atom
**E**: -5.5728 eV/atom

a b c (Å): 3.3541 3.3541 8.2146
angles (deg): 90.00 90.00 90.00
Last column: nearest neighbours and their distance in Å.
Space group I-4m2 (No. 119)
Unique sites:
Be 0.0000 0.0000 0.0000  4 W 2.37, 4 Be 2.65, 4 Zn 2.65
Be 0.0000 0.5000 0.2500  4 Zn 2.37, 4 W 2.65, 4 Be 2.65
Zn 0.0000 0.5000 0.7500  8 Be 2.37-2.65, 4 W 2.65
W 0.0000 0.0000 0.5000  8 Be 2.37-2.65, 4 Zn 2.65

Entry 14:
Below is LiMn2O3F after structural relaxation, with properties calculated at the PBEsol level.

Computed properties:
**Crystal system**: monoclinic
**Formation energy from raw total energies**: -1.913 eV per atom
**Total magnetic moment**: 63.911 μB per cell
**E**: -7.5078 eV/atom
**Relative energy among the computed polymorphs**: 0.006 eV per atom

a b c (Å): 10.4473 6.0119 9.9864
angles (deg): 90.00 109.34 90.00
Last column: nearest neighbours and their distance in Å.
Space group C2/c (No. 15)
Unique sites:
Li 0.0504 0.2315 0.4082  1 F 1.86, 3 O 1.97-2.05
Mn 0.0000 0.2788 0.7500  4 O 1.89-1.95
Mn 0.2491 0.4778 0.2511  4 O 1.87-1.94
Mn 0.2500 0.2500 0.0000  4 O 1.95-1.96
O 0.1244 0.4984 0.8486  2 Mn 1.87-1.89, 1 Li 1.97
O 0.1288 0.0565 0.8573  3 Mn 1.94-1.95, 1 Li 2.05
O 0.1559 0.2275 0.1399  3 Mn 1.93-1.96, 1 Li 2.05
F 0.1201 0.2653 0.6037  1 Li 1.86

Entry 15:
Below is P2BrO2 after structural relaxation, with properties calculated at the PBEsol level.

Computed properties:
**Crystal system**: tetragonal
**Formation energy from raw total energies**: 0.804 eV per atom
**Total magnetic moment**: 0.340 μB per cell
**E**: -3.9859 eV/atom

a b c (Å): 3.6466 3.6466 5.6108
angles (deg): 90.00 90.00 90.00
Last column: nearest neighbours and their distance in Å.
Space group P4/mmm (No. 123)
Unique sites:
P 0.0000 0.0000 0.0000  4 P 2.58, 2 Br 2.81
P 0.5000 0.5000 0.0000  4 P 2.58
Br 0.0000 0.0000 0.5000  4 O 1.82
O 0.0000 0.5000 0.5000  2 Br 1.82

Entry 16:
Below is Ce3Ni2Ge7 after structural relaxation, with properties calculated at the PBEsol level.

Computed properties:
**Crystal system**: orthorhombic
**Total magnetic moment**: 2.570 μB per cell
**Energy of formation**: -0.6894 eV per atom
**E**: -6.2456 eV/atom

a b c (Å): 4.1788 24.9285 4.2083
angles (deg): 90.00 90.00 90.00
Last column: nearest neighbours and their distance in Å.
Space group Cmmm (No. 65)
Unique sites:
Ce 0.0000 0.0000 0.0000  12 Ge 2.97-3.03, 2 Ni 3.19
Ce 0.0000 0.3163 0.5000  10 Ge 3.11-3.20, 4 Ni 3.27
Ni 0.0000 0.1282 0.0000  5 Ge 2.32-2.34
Ge 0.0000 0.0874 0.5000  2 Ni 2.34
Ge 0.0000 0.2213 0.0000  1 Ni 2.32, 2 Ge 2.53
Ge 0.0000 0.4129 0.0000  2 Ni 2.33
Ge 0.0000 0.5000 0.5000  4 Ce 2.97, 8 Ge 3.02

Entry 17:
Below is Li2Mg after structural relaxation, with properties calculated at the PBEsol level.

Computed properties:
**Crystal system**: tetragonal
**Total magnetic moment**: 0.000 μB per cell
**Energy of formation**: 0.0138 eV per atom
**E**: -1.8697 eV/atom

a b c (Å): 3.0319 3.0319 27.3516
angles (deg): 90.00 90.00 90.00
Last column: nearest neighbours and their distance in Å.
Space group I4_1/amd (No. 141, origin choice 2)
Unique sites:
Li 0.0000 0.2500 0.2952  6 Li 2.90-3.03, 4 Mg 3.06
Mg 0.0000 0.2500 0.8750  4 Mg 3.03, 8 Li 3.06

Entry 18:
Below is Ta3Cr5N4 after structural relaxation, with properties calculated at the PBEsol level.

Computed properties:
**Crystal system**: tetragonal
**Formation energy from raw total energies**: -0.786 eV per atom
**Total magnetic moment**: 1.705 μB per cell
**E**: -11.0336 eV/atom

a b c (Å): 2.9715 2.9715 14.3793
angles (deg): 90.00 90.00 90.00
Last column: nearest neighbours and their distance in Å.
Space group P4mm (No. 99)
Unique sites:
Ta 0.0000 0.0000 0.0000  5 N 2.11-2.18
Ta 0.0000 0.0000 0.4875  5 N 2.13-2.29
Ta 0.5000 0.5000 0.6698  5 N 2.13-2.30
Cr 0.0000 0.0000 0.2811  1 N 1.87
Cr 0.0000 0.0000 0.7898  1 N 2.05
Cr 0.5000 0.5000 0.1643  5 N 2.11-2.12
Cr 0.5000 0.5000 0.3670  1 N 2.06
Cr 0.5000 0.5000 0.8757  1 N 2.03
N 0.0000 0.0000 0.1513  1 Cr 1.87
N 0.0000 0.0000 0.6470  1 Cr 2.05, 5 Ta 2.13-2.29
N 0.5000 0.5000 0.0168  2 Cr 2.03-2.12, 4 Ta 2.11
N 0.5000 0.5000 0.5101  1 Cr 2.06, 5 Ta 2.13-2.30

Entry 19:
Below is Sc2SbAs after structural relaxation, with properties calculated at the PBEsol level.

Computed properties:
**Crystal system**: trigonal
**Formation energy from raw total energies**: -1.183 eV per atom
**Total magnetic moment**: 0.000 μB per cell
**E**: -6.9015 eV/atom

a b c (Å): 3.9345 3.9345 19.7074
angles (deg): 90.00 90.00 120.00
Last column: nearest neighbours and their distance in Å.
Space group R-3m (No. 166, hexagonal axes)
Unique sites:
Sc 0.0000 0.0000 0.2428  3 As 2.72, 3 Sb 2.89
Sb 0.0000 0.0000 0.0000  6 Sc 2.89
As 0.0000 0.0000 0.5000  6 Sc 2.72

Entry 20:
Below is OsPb after structural relaxation, with properties calculated at the PBEsol level.

Computed properties:
**Crystal system**: tetragonal
**Total magnetic moment**: 0.012 μB per cell
**Energy of formation**: 1.2927 eV per atom
**E**: -6.8146 eV/atom

a b c (Å): 4.3173 4.3173 8.0598
angles (deg): 90.00 90.00 90.00
Last column: nearest neighbours and their distance in Å.
Space group I4_1/amd (No. 141, origin choice 2)
Unique sites:
Os 0.0000 0.2500 0.3750  8 Pb 2.95-3.05, 4 Os 2.95
Pb 0.0000 0.2500 0.8750  4 Pb 2.95, 8 Os 2.95-3.05